A relaxed InAgOs2 crystal, computed with PBE.

Output
For the total magnetization, the calculation gives 0.00 μB/f.u. The raw total energy is -6.712 eV per atom. The space group is P4mm (99). For the formation energy, the calculation gives 0.301 eV per atom. For the theoretical density, the calculation gives 14.9 Mg/m³.

```
4
Lattice="-2.430 0.152 1.531 0.476 -2.648 1.017 4.146 3.151 6.267" Properties=species:S:1:pos:R:3 pbc="T T T"
Os 0.108 0.082 0.163
Os -0.053 -0.546 2.671
Ag 2.015 1.532 3.046
In 2.195 1.162 6.069
```

***

A relaxed In2AgOs crystal, computed with PBE.

Output
For the total magnetization, the calculation gives 0.00 μB/f.u. The raw total energy is -4.432 eV per atom. The space group is Cmmm (65). For the formation energy, the calculation gives 0.457 eV per atom. For the theoretical density, the calculation gives 11.3 Mg/m³.

```
4
Lattice="3.072 -0.012 0.000 -1.469 2.698 0.000 0.000 0.000 9.346" Properties=species:S:1:pos:R:3 pbc="T T T"
Ag 0.801 1.343 7.009
In 0.000 0.000 0.117
In 0.000 0.000 4.556
Os 0.801 1.343 2.336
```

***

A relaxed InAgOs2 crystal, computed with PBE.

Output
For the total magnetization, the calculation gives 0.00 μB/f.u. The raw total energy is -6.354 eV per atom. The space group is Imm2 (44). For the formation energy, the calculation gives 0.658 eV per atom. For the theoretical density, the calculation gives 14.2 Mg/m³.

```
4
Lattice="-1.294 -0.975 -5.705 -5.215 -2.057 -1.936 3.372 4.055 2.713" Properties=species:S:1:pos:R:3 pbc="T T T"
Ag -3.370 -1.569 -3.956
In -2.367 0.326 -1.308
Os -6.369 -2.966 -7.476
Os -0.796 0.686 -3.650
```

***

A relaxed In2AgOs crystal, computed with PBE.

Output
For the total magnetization, the calculation gives 0.00 μB/f.u. The raw total energy is -4.529 eV per atom. The space group is Imm2 (44). For the formation energy, the calculation gives 0.361 eV per atom. For the theoretical density, the calculation gives 11.5 Mg/m³.

```
4
Lattice="5.792 0.026 0.009 3.062 4.916 -0.009 -4.024 -3.193 2.676" Properties=species:S:1:pos:R:3 pbc="T T T"
In 1.951 2.219 1.333
In 0.017 0.009 0.000
Os 4.364 2.436 0.000
Ag 2.924 -0.444 1.343
```

***

A relaxed InAg4Os crystal, computed with PBE.

Output
For the total magnetization, the calculation gives 0.00 μB/f.u. The raw total energy is -3.546 eV per atom. The space group is F-43m (216). For the formation energy, the calculation gives 0.683 eV per atom. For the theoretical density, the calculation gives 11.1 Mg/m³.

```
6
Lattice="0.421 -1.252 5.217 -4.435 -0.668 2.974 -1.379 -4.913 1.708" Properties=species:S:1:pos:R:3 pbc="T T T"
Ag -4.245 -2.895 5.199
Ag -2.020 -2.560 3.708
Ag -1.809 -3.188 6.324
Ag -2.712 -5.024 4.565
Os 0.000 0.000 0.000
In -4.045 -5.125 7.424
```

***

A relaxed InAgOs2 crystal, computed with PBE.

Output
For the total magnetization, the calculation gives 0.00 μB/f.u. The raw total energy is -6.214 eV per atom. The space group is P4/mmm (123). For the formation energy, the calculation gives 0.798 eV per atom. For the theoretical density, the calculation gives 15.1 Mg/m³.

```
4
Lattice="-1.009 2.985 2.974 -3.725 -0.071 -1.192 -0.773 -2.835 2.583" Properties=species:S:1:pos:R:3 pbc="T T T"
Os -2.249 -1.453 0.695
Os 0.000 0.000 0.000
Ag -2.367 1.457 0.891
In -0.891 0.075 2.779
```

***

A relaxed In2AgOs crystal, computed with PBE.

Output
For the total magnetization, the calculation gives 0.00 μB/f.u. The raw total energy is -4.533 eV per atom. The space group is Cmmm (65). For the formation energy, the calculation gives 0.356 eV per atom. For the theoretical density, the calculation gives 11.9 Mg/m³.

```
4
Lattice="-1.596 -6.661 -1.489 4.359 1.946 -0.391 1.201 -2.292 1.946" Properties=species:S:1:pos:R:3 pbc="T T T"
In 0.000 0.000 0.000
In -0.197 -4.477 0.229
Os 2.780 -0.173 0.778
Ag 1.381 -2.357 -0.940
```

***

A relaxed InAgOs2 crystal, computed with PBE.

Output
For the total magnetization, the calculation gives 0.00 μB/f.u. The raw total energy is -6.192 eV per atom. The space group is I4/mmm (139). For the formation energy, the calculation gives 0.820 eV per atom. For the theoretical density, the calculation gives 15.0 Mg/m³.

```
4
Lattice="5.164 0.005 0.000 2.207 4.669 0.000 -3.685 -2.337 2.761" Properties=species:S:1:pos:R:3 pbc="T T T"
In 2.582 0.003 1.381
Os 0.000 0.000 0.000
Os 3.685 2.337 0.000
Ag 1.103 2.335 1.381
```

***

A relaxed In4AgOs crystal, computed with PBE.

Output
For the total magnetization, the calculation gives 0.00 μB/f.u. The raw total energy is -3.302 eV per atom. The space group is F-43m (216). For the formation energy, the calculation gives 0.870 eV per atom. For the theoretical density, the calculation gives 9.6 Mg/m³.

```
6
Lattice="-0.145 3.084 4.791 -4.981 1.047 2.566 -1.229 -2.509 4.969" Properties=species:S:1:pos:R:3 pbc="T T T"
In -4.868 1.131 5.906
In -2.385 0.609 4.627
In -2.457 2.146 7.015
In -2.998 -0.642 7.104
Os -4.766 1.217 9.245
Ag 0.000 0.000 0.000
```

***

A relaxed InAgOs2 crystal, computed with PBE.

Output
For the total magnetization, the calculation gives 0.22 μB/f.u. The raw total energy is -6.186 eV per atom. The space group is Cmmm (65). For the formation energy, the calculation gives 0.826 eV per atom. For the theoretical density, the calculation gives 15.0 Mg/m³.

```
4
Lattice="2.813 -0.017 0.000 -1.294 2.497 0.000 0.000 0.000 9.557" Properties=species:S:1:pos:R:3 pbc="T T T"
Ag 0.759 1.240 2.389
In 0.759 1.240 7.168
Os 0.000 0.000 4.819
Os 0.000 0.000 9.516
```

***

A relaxed InAgOs2 crystal, computed with PBE.

Output
For the total magnetization, the calculation gives 0.59 μB/f.u. The raw total energy is -6.352 eV per atom. The space group is Cmm2 (35). For the formation energy, the calculation gives 0.660 eV per atom. For the theoretical density, the calculation gives 14.6 Mg/m³.

```
4
Lattice="-2.127 0.456 1.821 0.816 -2.659 -0.558 6.427 0.422 7.401" Properties=species:S:1:pos:R:3 pbc="T T T"
Ag 3.148 0.206 3.625
Os 0.109 0.007 0.126
Os 0.850 -1.003 2.365
In 4.222 -0.781 6.249
```

***

A relaxed InAgOs2 crystal, computed with PBE.

Output
For the total magnetization, the calculation gives 1.12 μB/f.u. The raw total energy is -6.045 eV per atom. The space group is P4/mmm (123). For the formation energy, the calculation gives 0.967 eV per atom. For the theoretical density, the calculation gives 15.2 Mg/m³.

```
4
Lattice="-2.544 1.094 1.688 -0.869 -3.052 0.669 3.509 0.141 5.198" Properties=species:S:1:pos:R:3 pbc="T T T"
Os 0.025 0.001 0.038
Os 1.729 0.069 2.561
In 0.925 -0.873 5.077
Ag -0.829 -0.944 2.478
```

***

A relaxed In2AgOs crystal, computed with PBE.

Output
For the total magnetization, the calculation gives 0.00 μB/f.u. The raw total energy is -4.125 eV per atom. The space group is I-42d (122). For the formation energy, the calculation gives 0.764 eV per atom. For the theoretical density, the calculation gives 10.4 Mg/m³.

```
8
Lattice="4.240 0.000 0.000 0.000 4.240 0.000 2.120 2.120 9.349" Properties=species:S:1:pos:R:3 pbc="T T T"
In 3.180 3.112 7.011
In 0.992 3.180 2.337
In 3.248 1.060 2.337
In 5.299 5.367 7.011
Os 4.240 2.120 4.674
Os 0.000 0.000 0.000
Ag 2.120 4.240 4.674
Ag 2.120 2.120 0.000
```

***

A relaxed InAgOs2 crystal, computed with PBE.

Output
For the total magnetization, the calculation gives 0.00 μB/f.u. The raw total energy is -6.574 eV per atom. The space group is Pmm2 (25). For the formation energy, the calculation gives 0.438 eV per atom. For the theoretical density, the calculation gives 14.7 Mg/m³.

```
4
Lattice="-2.126 -1.883 0.242 2.464 -2.651 1.007 -0.746 1.627 6.107" Properties=species:S:1:pos:R:3 pbc="T T T"
In -0.396 -1.035 5.250
Os -0.029 0.063 0.237
Os 0.009 -1.918 1.935
Ag -0.365 0.796 2.988
```

***

A relaxed InAgOs2 crystal, computed with PBE.

Output
For the total magnetization, the calculation gives 0.00 μB/f.u. The raw total energy is -6.322 eV per atom. The space group is Pmmm (47). For the formation energy, the calculation gives 0.690 eV per atom. For the theoretical density, the calculation gives 15.2 Mg/m³.

```
4
Lattice="-2.520 1.353 -0.565 -0.480 -2.540 -3.945 -2.367 -3.380 2.464" Properties=species:S:1:pos:R:3 pbc="T T T"
Ag -2.443 -1.014 0.950
Os 0.000 0.000 0.000
Os -1.500 -0.593 -2.255
In -1.423 -2.960 -0.741
```

***

A relaxed InAgOs2 crystal, computed with PBE.

Output
For the total magnetization, the calculation gives 0.00 μB/f.u. The raw total energy is -6.296 eV per atom. The space group is P2/m (10). For the formation energy, the calculation gives 0.716 eV per atom. For the theoretical density, the calculation gives 15.0 Mg/m³.

```
4
Lattice="-4.531 1.249 1.074 -0.952 -1.693 -2.047 -0.328 -3.825 3.062" Properties=species:S:1:pos:R:3 pbc="T T T"
Os -0.951 -1.745 -1.980
Os -0.642 -2.708 0.441
In -3.225 -3.515 1.299
Ag -2.585 -0.755 0.791
```

***

A relaxed In2AgOs crystal, computed with PBE.

Output
For the total magnetization, the calculation gives 0.00 μB/f.u. The raw total energy is -4.561 eV per atom. The space group is Cm (8). For the formation energy, the calculation gives 0.328 eV per atom. For the theoretical density, the calculation gives 11.7 Mg/m³.

```
4
Lattice="-0.055 -4.023 3.564 -0.585 -5.313 0.571 4.263 -1.856 0.045" Properties=species:S:1:pos:R:3 pbc="T T T"
Ag 2.912 -8.559 3.172
In 1.219 -2.794 0.988
In 4.033 -1.786 0.056
Os 1.533 -5.503 2.100
```

***

A relaxed InAgOs3 crystal, computed with PBE.

Output
For the total magnetization, the calculation gives 4.97 μB/f.u. The raw total energy is -5.051 eV per atom. As for the energy relative to the lowest polymorph listed for this composition: 0 meV/atom. The space group is Pm-3m (221). For the formation energy, the calculation gives 2.805 eV per atom. For the theoretical density, the calculation gives 11.9 Mg/m³.

```
5
Lattice="-2.308 -3.981 1.394 1.529 0.691 4.506 -3.931 2.606 0.934" Properties=species:S:1:pos:R:3 pbc="T T T"
In -2.355 -0.342 3.417
Os -1.154 -1.990 0.697
Os -1.965 1.303 0.467
Os 0.764 0.346 2.253
Ag 0.000 0.000 0.000
```

***

A relaxed InAgOs2 crystal, computed with PBE.

Output
For the total magnetization, the calculation gives 0.02 μB/f.u. The raw total energy is -6.100 eV per atom. The space group is P4/mmm (123). For the formation energy, the calculation gives 0.912 eV per atom. For the theoretical density, the calculation gives 15.1 Mg/m³.

```
4
Lattice="-1.025 -2.624 -0.190 0.675 -0.065 -2.741 7.493 -3.067 1.918" Properties=species:S:1:pos:R:3 pbc="T T T"
Ag 1.698 -2.111 -0.986
Os 0.020 -0.008 0.005
Os 3.727 -1.526 0.954
In 5.444 -3.645 -0.027
```

***

A relaxed InAgOs2 crystal, computed with PBE.

Output
For the total magnetization, the calculation gives 0.01 μB/f.u. The raw total energy is -6.316 eV per atom. The space group is Immm (71). For the formation energy, the calculation gives 0.697 eV per atom. For the theoretical density, the calculation gives 15.1 Mg/m³.

```
4
Lattice="-3.334 -3.271 -3.027 -3.987 -3.002 2.463 2.213 4.960 -1.215" Properties=species:S:1:pos:R:3 pbc="T T T"
Os -3.624 -3.105 -0.279
Os -0.036 -0.031 -0.003
In -2.717 -0.589 0.483
Ag -2.391 -0.724 -2.261
```